(1)
A geometry-optimized SrCaMgAl structure. Source: Alexandria, functional PBE.

The structure in POSCAR format:
```
SrCaMgAl
1.0
-5.159 -2.055 0.204
-0.910 -5.007 2.232
-2.628 -0.432 4.878
Sr Mg Ca Al
1 1 1 1
Cartesian
-6.523 -5.621 5.485
0.000 0.000 0.000
-2.174 -1.874 1.828
-4.349 -3.747 3.657
```

Its formation enthalpy at 0 K is -112 meV/atom. As for the mass density: 2.45 g/cm³. Its symmetry is F-43m. The uncorrected energy is -2.37 eV/atom.



(2)
A geometry-optimized GdYTlRu structure. Source: Alexandria, functional PBE.

The structure in POSCAR format:
```
GdYTlRu
1.0
5.113 0.000 0.000
2.556 4.428 0.000
2.556 1.476 4.174
Ru Gd Y Tl
1 1 1 1
Cartesian
7.669 4.428 3.131
5.113 2.952 2.087
0.000 0.000 0.000
2.556 1.476 1.044
```

Its formation enthalpy at 0 K is -240 meV/atom. As for the mass density: 9.69 g/cm³. Its symmetry is F-43m. The uncorrected energy is -8.29 eV/atom.



(3)
A geometry-optimized PmMnCo2 structure. Source: Alexandria, functional PBE.

The structure in POSCAR format:
```
PmMnCo2
1.0
-2.192 2.087 -2.661
-3.425 -1.553 -1.448
-4.362 2.245 2.302
Co Pm Mn
2 1 1
Cartesian
-2.913 1.041 0.164
-7.067 1.737 -1.972
0.000 0.000 0.000
-4.990 1.389 -0.904
```

Its formation enthalpy at 0 K is 7 meV/atom. As for the mass density: 7.66 g/cm³. Its symmetry is R-3m. The uncorrected energy is -7.03 eV/atom.



(4)
A geometry-optimized KTbZnTe3 structure. Source: Alexandria, functional PBE.

The structure in POSCAR format:
```
KTbZnTe3
1.0
-1.958 1.470 -3.663
0.270 -8.946 -3.733
-9.035 1.092 5.267
Tb Te K Zn
2 6 2 2
Cartesian
-9.151 -0.887 0.561
-1.573 -5.498 -2.690
-2.843 -2.837 -3.593
-7.880 -3.548 1.464
-8.252 0.403 3.247
-2.471 -6.788 -5.377
-4.472 -6.187 -1.417
-6.251 -0.198 -0.713
-2.593 -1.246 -0.438
-8.130 -5.139 -1.691
-5.943 0.286 1.967
-4.780 -6.671 -4.096
```

As for the mass density: 5.03 g/cm³. Its symmetry is P2_1/m. The uncorrected energy is -3.80 eV/atom.



(5)
A geometry-optimized HfV2Co9 structure. Source: Alexandria, functional PBE.

The structure in POSCAR format:
```
HfV2Co9
1.0
-2.133 -3.387 -2.226
5.716 -5.041 2.193
-4.072 -1.757 6.574
Co Hf V
18 2 4
Cartesian
-1.428 -5.158 4.505
1.758 -7.273 2.201
-3.711 -4.392 5.526
3.222 -5.792 1.014
1.791 -4.214 -0.017
0.045 -5.676 6.350
-1.573 -2.357 0.381
-3.365 -4.686 3.173
-1.073 -7.451 5.183
-0.534 -4.509 0.191
-3.102 -2.572 2.174
2.875 -5.498 3.368
1.084 -7.828 6.160
0.584 -2.734 1.357
-1.189 -3.942 2.426
-2.247 -2.911 4.339
0.700 -6.242 4.115
0.939 -5.026 2.036
0.000 0.000 0.000
0.822 -3.399 4.383
-1.411 -3.465 6.623
-0.866 -1.271 2.763
3.054 -3.333 2.144
2.510 -5.527 6.003
```

Its formation enthalpy at 0 K is -135 meV/atom. As for the mass density: 9.35 g/cm³. Its symmetry is P4/mbm. The uncorrected energy is -7.81 eV/atom.



(6)
A geometry-optimized LiCu2 structure. Source: Alexandria, functional PBE.

The structure in POSCAR format:
```
LiCu2
1.0
2.594 0.000 0.000
-1.297 2.246 0.000
0.000 0.000 6.379
Cu Li
2 1
Cartesian
0.000 1.498 2.147
1.297 0.749 4.232
0.000 0.000 0.000
```

Its formation enthalpy at 0 K is -10 meV/atom. As for the mass density: 5.99 g/cm³. Its symmetry is P-3m1. The uncorrected energy is -3.38 eV/atom.



(7)
A geometry-optimized YCdRh2 structure. Source: Alexandria, functional PBE.

The structure in POSCAR format:
```
YCdRh2
1.0
4.283 0.000 0.000
0.000 4.283 0.000
2.141 2.141 9.116
Rh Cd Y
4 2 2
Cartesian
3.212 2.996 6.837
3.428 1.071 2.279
0.855 3.212 2.279
5.353 5.569 6.837
4.283 2.141 4.558
0.000 0.000 0.000
2.141 2.141 0.000
2.141 4.283 4.558
```

Its formation enthalpy at 0 K is -1 meV/atom. As for the mass density: 8.09 g/cm³. Its symmetry is I-42d. The uncorrected energy is -5.52 eV/atom.



(8)
A geometry-optimized BaMn3N structure. Source: Alexandria, functional PBE.

The structure in POSCAR format:
```
BaMn3N
1.0
-1.127 -1.111 4.046
4.191 -0.487 1.033
0.190 4.171 1.198
N Ba Mn
1 1 3
Cartesian
0.000 0.000 0.000
1.627 1.287 3.138
0.095 2.086 0.599
2.096 -0.244 0.517
-0.563 -0.555 2.023
```

As for the excess energy over the best structure of this formula in the dataset: 0.0 kJ/mol of atoms. As for the mass density: 6.40 g/cm³. Its symmetry is Pm-3m. The uncorrected energy is -7.00 eV/atom.